## PmBiRuRh (PBE)

Data for an optimized crystal structure of PmBiRuRh.

**Formation energy from the elements**: -23 kJ per mole of atoms
**Total DFT energy (no corrections)**: -26.2 eV/cell
**Mass density**: 11.56 Mg/m³
**Total moment**: 0.201 μB per atom

Lattice parameters (Å, degrees): 4.8401 4.8401 4.8401 60.00 60.00 60.00
With the nearest neighbours (Å) after each atom.
Fractional positions:
Pm 0.0000 0.0000 0.0000  4 Ru 2.96, 4 Rh 2.96
Bi 0.5000 0.5000 0.5000  4 Rh 2.96, 4 Ru 2.96
Ru 0.2500 0.2500 0.2500  4 Bi 2.96, 4 Pm 2.96
Rh 0.7500 0.7500 0.7500  4 Bi 2.96, 4 Pm 2.96

## Pm2BiSb3Rh4 (PBE)

Data for an optimized crystal structure of Pm2BiSb3Rh4.

**Formation energy from raw total energies**: -7.03 eV/f.u.
**Total DFT energy (no corrections)**: -62.2 eV/cell
**Mass density**: 9.59 Mg/m³
**Total moment**: 0.000 μB per atom

Lattice parameters (Å, degrees): 4.5220 4.5220 10.8049 90.00 90.00 90.00
With the nearest neighbours (Å) after each atom.
Fractional positions:
Pm 0.0000 0.5000 0.2359  6 Sb 3.40-3.64, 8 Rh 3.41-3.49, 2 Bi 3.64
Pm 0.5000 0.0000 0.7641  6 Sb 3.40-3.64, 8 Rh 3.41-3.49, 2 Bi 3.64
Bi 0.0000 0.0000 0.5000  4 Rh 2.69
Sb 0.0000 0.5000 0.8707  5 Rh 2.54-2.66
Sb 0.5000 0.0000 0.1293  5 Rh 2.54-2.66
Sb 0.5000 0.5000 0.5000  4 Rh 2.69
Rh 0.0000 0.0000 0.0000  4 Sb 2.66
Rh 0.0000 0.5000 0.6354  3 Sb 2.54-2.69, 2 Bi 2.69
Rh 0.5000 0.0000 0.3646  3 Sb 2.54-2.69, 2 Bi 2.69
Rh 0.5000 0.5000 0.0000  4 Sb 2.66

## Pm3Bi2Sb2Rh4 (PBE)

Data for an optimized crystal structure of Pm3Bi2Sb2Rh4.

**Formation energy from raw total energies**: -7.99 eV/f.u.
**Total DFT energy (no corrections)**: -67.7 eV/cell
**Mass density**: 9.76 Mg/m³
**Total moment**: 0.000 μB per atom

Lattice parameters (Å, degrees): 4.6606 4.6606 13.6388 90.00 90.00 120.00
With the nearest neighbours (Å) after each atom.
Fractional positions:
Pm 0.0000 0.0000 0.0000  6 Rh 3.14, 6 Sb 3.37
Pm 0.0000 0.0000 0.2702  3 Rh 2.99, 3 Sb 3.16
Pm 0.0000 0.0000 0.7298  3 Rh 2.99, 3 Sb 3.16
Bi 0.3333 0.6667 0.5741  4 Rh 2.81-2.83
Bi 0.6667 0.3333 0.4259  4 Rh 2.81-2.83
Sb 0.3333 0.6667 0.1482  4 Rh 2.72-2.98
Sb 0.6667 0.3333 0.8518  4 Rh 2.72-2.98
Rh 0.3333 0.6667 0.3666  4 Bi 2.81-2.83, 1 Sb 2.98, 3 Pm 2.99
Rh 0.3333 0.6667 0.8814  3 Sb 2.72
Rh 0.6667 0.3333 0.1186  3 Sb 2.72
Rh 0.6667 0.3333 0.6334  4 Bi 2.81-2.83, 1 Sb 2.98, 3 Pm 2.99

## Sr2PmBi3Rh4 (PBE)

Data for an optimized crystal structure of Sr2PmBi3Rh4.

**Formation energy from the elements**: -50 kJ per mole of atoms
**Total DFT energy (no corrections)**: -54.4 eV/cell
**Mass density**: 9.08 Mg/m³
**Total moment**: 0.000 μB per atom

Lattice parameters (Å, degrees): 4.5942 4.5942 11.7780 90.00 90.00 90.00
With the nearest neighbours (Å) after each atom.
Fractional positions:
Sr 0.0000 0.5000 0.2326  4 Bi 3.47, 8 Rh 3.56-3.58
Sr 0.5000 0.0000 0.7674  4 Bi 3.47, 8 Rh 3.56-3.58
Pm 0.0000 0.0000 0.5000  4 Rh 2.85
Bi 0.0000 0.5000 0.8721  5 Rh 2.69-2.75
Bi 0.5000 0.0000 0.1279  5 Rh 2.69-2.75
Bi 0.5000 0.5000 0.5000  4 Rh 2.85
Rh 0.0000 0.0000 0.0000  4 Bi 2.75
Rh 0.0000 0.5000 0.6438  3 Bi 2.69-2.85, 2 Pm 2.85
Rh 0.5000 0.0000 0.3562  3 Bi 2.69-2.85, 2 Pm 2.85
Rh 0.5000 0.5000 0.0000  4 Bi 2.75

## Pm4BiRu (PBE)

Data for an optimized crystal structure of Pm4BiRu.

**Formation energy from the elements**: -41 kJ per mole of atoms
**Total DFT energy (no corrections)**: -69.5 eV/cell
**Mass density**: 8.06 Mg/m³
**Total moment**: 0.000 μB per atom
**Energy above the lowest structure with this stoichiometry**: 0.00 eV/f.u.

Lattice parameters (Å, degrees): 8.2761 8.2761 6.3410 102.66 102.66 112.99
With the nearest neighbours (Å) after each atom.
Fractional positions:
Pm 0.0592 0.7217 0.9344  2 Ru 2.95-2.97
Pm 0.2075 0.3504 0.6488  2 Ru 2.96-3.03, 1 Bi 3.31
Pm 0.2783 0.9408 0.5656  2 Ru 2.95-2.97
Pm 0.3504 0.2075 0.1488  2 Ru 2.96-3.03, 1 Bi 3.31
Pm 0.6496 0.7925 0.8512  2 Ru 2.96-3.03, 1 Bi 3.31
Pm 0.7217 0.0592 0.4344  2 Ru 2.95-2.97
Pm 0.7925 0.6496 0.3512  2 Ru 2.96-3.03, 1 Bi 3.31
Pm 0.9408 0.2783 0.0656  2 Ru 2.95-2.97
Bi 0.3731 0.6269 0.2500  8 Pm 3.31-3.62
Bi 0.6269 0.3731 0.7500  8 Pm 3.31-3.62
Ru 0.9999 0.0001 0.2500  8 Pm 2.95-3.03, 2 Ru 3.17
Ru 0.0001 0.9999 0.7500  8 Pm 2.95-3.03, 2 Ru 3.17

## Pm2BiRu (PBE)

Data for an optimized crystal structure of Pm2BiRu.

**Formation energy from the elements**: -24 kJ per mole of atoms
**Total DFT energy (no corrections)**: -23.7 eV/cell
**Mass density**: 9.53 Mg/m³
**Total moment**: 0.152 μB per atom
**Energy above the lowest structure with this stoichiometry**: 0.44 eV/f.u.

Lattice parameters (Å, degrees): 5.2871 5.2871 5.2871 60.00 60.00 60.00
With the nearest neighbours (Å) after each atom.
Fractional positions:
Pm 0.2500 0.2500 0.2500  4 Bi 3.24, 4 Ru 3.24
Pm 0.7500 0.7500 0.7500  4 Bi 3.24, 4 Ru 3.24
Bi 0.0000 0.0000 0.0000  8 Pm 3.24
Ru 0.5000 0.5000 0.5000  8 Pm 3.24

Question: mass density of number 1 (PmBiRuRh)?
Answer: 11.56 Mg/m³